CaNdGaPd | PBE-GGA | optimized geometry

```
4
Lattice="4.458 0.000 0.000 0.000 2.000 5.650 0.000 -2.000 5.650" Properties=species:S:1:pos:R:3 pbc="T T T"
Ca 0.000 0.000 0.000
Nd 2.229 0.000 8.059
Ga 2.229 0.000 4.824
Pd 0.000 0.000 3.259
```

Summary:
DFT formation energy: -0.617 eV per atom
magnetic moment: 0.0 μB per formula unit
space-group type: Amm2, No. 38